# Tl2RePt

Tl2RePt after structural relaxation (PBEsol, Alexandria via LeMat-Bulk).

a = 6.433 Å, b = 6.433 Å, c = 6.433 Å
α = 153.95°, β = 137.01°, γ = 50.96°
Element x y z (fractional)
1 Tl 0.000 0.000 0.000
2 Tl 0.715 0.215 0.500
3 Re 0.494 0.494 0.000
4 Pt 0.304 0.804 0.500

ΔH_f (0 K) (eV/atom): 0.627
ΔE to the lowest computed polymorph (meV/atom): 0
N(E_F) (states/eV per cell): 3.54

=====

# Tl2RePt

Tl2RePt after structural relaxation (PBEsol, Alexandria via LeMat-Bulk).

a = 3.017 Å, b = 4.665 Å, c = 5.286 Å
α = 90.00°, β = 90.00°, γ = 90.00°
Element x y z (fractional)
1 Tl 0.000 0.000 0.000
2 Tl 0.500 0.000 0.500
3 Re 0.000 0.500 0.500
4 Pt 0.500 0.500 0.000

ΔH_f (0 K) (eV/atom): 0.792
ΔE to the lowest computed polymorph (meV/atom): 164
N(E_F) (states/eV per cell): 3.26

=====

# TlRePt2

TlRePt2 after structural relaxation (PBEsol, Alexandria via LeMat-Bulk).

a = 5.000 Å, b = 5.000 Å, c = 2.798 Å
α = 90.00°, β = 90.00°, γ = 112.21°
Element x y z (fractional)
1 Tl 0.000 0.000 0.000
2 Re 0.500 0.500 0.000
3 Pt 0.000 0.500 0.500
4 Pt 0.500 0.000 0.500

ΔH_f (0 K) (eV/atom): 0.326
ΔE to the lowest computed polymorph (meV/atom): 0
N(E_F) (states/eV per cell): 3.86

=====

# TlRe2Pt

TlRe2Pt after structural relaxation (PBEsol, Alexandria via LeMat-Bulk).

a = 4.856 Å, b = 4.856 Å, c = 4.856 Å
α = 130.96°, β = 130.96°, γ = 71.87°
Element x y z (fractional)
1 Tl 0.000 0.000 0.000
2 Re 0.250 0.750 0.500
3 Re 0.500 0.500 0.000
4 Pt 0.750 0.250 0.500

ΔH_f (0 K) (eV/atom): 0.619
ΔE to the lowest computed polymorph (meV/atom): 0
N(E_F) (states/eV per cell): 3.85